The following is a DFT calculation (GGA+U) of a relaxed K2VSiO4 crystal.

a = 5.4808 Å, b = 5.4808 Å, c = 5.4808 Å
α = 99.47°, β = 114.69°, γ = 114.69°
With the nearest neighbours (Å) after each atom.
Element x y z (fractional)
V 0.5000 0.2500 0.7500  4 O 2.07
O 0.9129 0.4805 0.1659  1 Si 1.66
O 0.3146 0.8341 0.7470  1 Si 1.66
O 0.0871 0.2530 0.5676  1 Si 1.66
Si 0.0000 0.5000 0.5000  4 O 1.66
O 0.6854 0.4324 0.5195  1 Si 1.66
K 0.5000 0.7500 0.2500  4 O 2.70
K 0.0000 0.0000 0.0000  8 O 2.93-3.04

Output
Total energy in eV/atom: -6.37
Space-group type: I-4 (82)